Entry 1:
Compound: BaTl3W
Source: the Alexandria database
Functional: PBE-GGA
Structure: relaxed

Properties
excess energy over the best structure of this formula in the dataset	0	meV per atom
VASP energy	-4.140	eV/atom
total magnetic moment	0.00	μB per formula unit
formation enthalpy at 0 K	254.6	meV per atom

a b c (Å): 5.441 5.441 5.441
angles (deg): 90.00 90.00 90.00
Positions (direct):
Tl1 0.000 0.000 0.500
W1 0.000 0.000 0.000
Tl2 0.000 0.500 0.000
Tl3 0.500 0.000 0.000
Ba1 0.500 0.500 0.500

***

Entry 2:
Compound: Cs3CaAg2Cl9
Source: the Alexandria database
Functional: PBE-GGA
Structure: relaxed

Properties
E_form (uncorrected)	-21.64	eV per formula unit
VASP energy	-3.235	eV/atom
total magnetic moment	0.00	μB per formula unit

a b c (Å): 7.491 7.491 9.212
angles (deg): 90.00 90.00 120.00
Positions (direct):
Cl1 0.831 0.169 0.674
Cl2 0.500 0.500 0.000
Cs1 0.000 0.000 0.000
Cl3 0.500 0.000 0.000
Cs2 0.667 0.333 0.335
Cl4 0.831 0.661 0.674
Cl5 0.169 0.831 0.326
Ca1 0.000 0.000 0.500
Cl6 0.339 0.169 0.674
Cl7 0.000 0.500 0.000
Cs3 0.333 0.667 0.665
Ag1 0.667 0.333 0.843
Cl8 0.661 0.831 0.326
Cl9 0.169 0.339 0.326
Ag2 0.333 0.667 0.157

***

Entry 3:
Compound: Be2AlRe
Source: the Alexandria database
Functional: PBE-GGA
Structure: relaxed

Properties
VASP energy	-6.186	eV/atom
total magnetic moment	0.00	μB per formula unit
formation enthalpy at 0 K	-274.9	meV per atom

a b c (Å): 4.647 4.647 4.647
angles (deg): 137.40 137.40 61.82
Positions (direct):
Be1 0.000 0.000 0.000
Al1 0.250 0.750 0.500
Be2 0.750 0.250 0.500
Re1 0.500 0.500 0.000